No. 1
Be2CrRu | PBE | optimized geometry

a = 3.926 Å, b = 3.926 Å, c = 3.926 Å
α = 120.07°, β = 120.07°, γ = 89.88°
Element x y z (fractional)
Cr 0.500 0.500 0.000
Be 0.250 0.750 0.500
Be 0.000 0.000 0.000
Ru 0.750 0.250 0.500

Values from the calculation:
VASP energy in eV/atom: -6.728
DFT formation energy in eV per atom: -0.14
Total magnetization in μB/f.u.: 0.000

***

No. 2
BeCr2Ru | PBE | optimized geometry

a = 2.611 Å, b = 2.611 Å, c = 6.749 Å
α = 90.00°, β = 90.00°, γ = 90.00°
Element x y z (fractional)
Cr 0.000 0.000 0.978
Cr 0.000 0.000 0.522
Ru 0.500 0.500 0.250
Be 0.500 0.500 0.750

Values from the calculation:
VASP energy in eV/atom: -7.927
DFT formation energy in eV per atom: 0.13
Total magnetization in μB/f.u.: 0.000

***

No. 3
Be3CrRu | PBE | optimized geometry

a = 3.886 Å, b = 3.886 Å, c = 3.886 Å
α = 90.00°, β = 90.00°, γ = 90.00°
Element x y z (fractional)
Be 0.500 0.000 0.000
Be 0.000 0.500 0.000
Be 0.000 0.000 0.500
Ru 0.500 0.500 0.500
Cr 0.000 0.000 0.000

Values from the calculation:
VASP energy in eV/atom: -4.776
DFT formation energy in eV per atom: 1.24
Total magnetization in μB/f.u.: 0.783
Energy above the most stable polymorph in this dataset in eV per atom: 0.294